[1]
The following is a PBE calculation of a relaxed ScAlSe2 crystal, from Alexandria via LeMat-Bulk.

The structure belongs to space group F-43m (No. 216); the cell edges are 6.944, 6.944 and 6.944 Å and the angles 90.00°, 90.00° and 90.00°. Symmetry generates all atoms from Sc at (0.000, 0.000, 0.000), Al at (0.250, 0.250, 0.750), Se at (0.000, 0.000, 0.500) and Se at (0.250, 0.250, 0.250).

The value obtained for the final energy is -17.62 eV/f.u.

[2]
The following is a PBE calculation of a relaxed Sr3LiAc2Se6 crystal, from Alexandria via LeMat-Bulk.

The structure belongs to space group C2/m (No. 12); the cell edges are 7.643, 13.241 and 7.677 Å and the angles 90.00°, 109.38° and 90.00°. Symmetry generates all atoms from Sr at (0.000, 0.000, 0.000), Sr at (0.000, 0.334, 0.000), Li at (0.000, 0.500, 0.500), Ac at (0.000, 0.167, 0.500), Se at (0.246, 0.336, 0.746) and Se at (0.246, 0.500, 0.255).

The value obtained for the final energy is -58.74 eV/f.u.

[3]
The following is a PBE calculation of a relaxed Ta2SbIr crystal, from Alexandria via LeMat-Bulk.

The structure belongs to space group Pm (No. 6); the cell edges are 2.956, 4.240 and 5.947 Å and the angles 90.00°, 104.29° and 90.00°. Symmetry generates all atoms from Ta at (0.000, 0.000, 0.000), Ta at (0.352, 0.500, 0.710), Sb at (0.741, 0.000, 0.486) and Ir at (0.598, 0.500, 0.196).

The value obtained for the final energy is -37.12 eV/f.u.

[4]
The following is a PBE calculation of a relaxed Ce3Ga2Si2 crystal, from Alexandria via LeMat-Bulk.

The structure belongs to space group C2/m (No. 12); the cell edges are 10.692, 4.369 and 6.752 Å and the angles 90.00°, 105.66° and 90.00°. Symmetry generates all atoms from Ce at (0.000, 0.000, 0.000), Ce at (0.180, 0.000, 0.583), Ga at (0.206, 0.500, 0.910) and Si at (0.018, 0.500, 0.327).

For the distance to the lowest polymorph of the same formula, the calculation gives 15 meV per atom.

[5]
The following is a PBE calculation of a relaxed FeMo2Rh2 crystal, from Alexandria via LeMat-Bulk.

The structure belongs to space group C2/m (No. 12); the cell edges are 7.542, 4.356 and 5.110 Å and the angles 90.00°, 119.58° and 90.00°. Symmetry generates all atoms from Fe at (0.000, 0.000, 0.000), Mo at (0.192, 0.000, 0.576) and Rh at (0.109, 0.500, 0.822).

For the distance to the lowest polymorph of the same formula, the calculation gives 0 meV per atom. The formation energy is 0.088 eV per atom.

[6]
The following is a PBE calculation of a relaxed Th6SiSb3As2 crystal, from Alexandria via LeMat-Bulk.

The structure belongs to space group C2/m (No. 12); the cell edges are 19.202, 4.350 and 8.831 Å and the angles 90.00°, 104.44° and 90.00°. Symmetry generates all atoms from Th at (0.004, 0.000, 0.232), Th at (0.159, 0.500, 0.094), Th at (0.171, 0.500, 0.569), Si at (0.000, 0.500, 0.000), Sb at (0.000, 0.500, 0.500), Sb at (0.168, 0.000, 0.833) and As at (0.167, 0.000, 0.333).

The value obtained for the final energy is -84.21 eV/f.u.